Model A:
Density functional theory data (PBE) for a relaxed structure of CaNdAl2.

Summary:
V = 410.2 Å³/cell

Lattice parameters (Å, degrees): 7.430 7.430 7.430 90.00 90.00 90.00
Positions (direct):
Ca: 0.000 0.000 0.000
Ca: 0.000 0.500 0.500
Ca: 0.500 0.000 0.500
Ca: 0.500 0.500 0.000
Nd: 0.000 0.000 0.500
Nd: 0.000 0.500 0.000
Nd: 0.500 0.000 0.000
Nd: 0.500 0.500 0.500
Al: 0.250 0.250 0.250
Al: 0.250 0.250 0.750
Al: 0.250 0.750 0.250
Al: 0.250 0.750 0.750
Al: 0.750 0.250 0.250
Al: 0.750 0.250 0.750
Al: 0.750 0.750 0.250
Al: 0.750 0.750 0.750

Model B:
Density functional theory data (PBE) for a relaxed structure of CaNdAl2.

Summary:
V = 102.7 Å³/cell

Lattice parameters (Å, degrees): 3.681 3.681 7.580 90.00 90.00 90.00
Positions (direct):
Ca: 0.000 0.000 0.000
Nd: 0.000 0.000 0.500
Al: 0.500 0.500 0.245
Al: 0.500 0.500 0.755

Short version: model B is the most stable of them.